# 1
Compound: Ca2CdCl
Source: the Alexandria database
Functional: PBE
Structure: relaxed

## Properties
The formation energy (no corrections) comes out at -794 meV/atom. The value obtained for the distance to the lowest polymorph of the same formula is 0.179 eV/atom.

Lattice parameters (Å, degrees): 7.862 7.862 8.208 90.00 90.00 90.00
Space group I-42d (No. 122)
One atom of each set of equivalent atoms:
Ca: 0.217 0.250 0.125 x8
Cd: 0.000 0.000 0.500 x4
Cl: 0.000 0.000 0.000 x4

---

# 2
Compound: CePrBr4
Source: the Alexandria database
Functional: PBE
Structure: relaxed

## Properties
The formation energy (no corrections) comes out at -1633 meV/atom. The value obtained for the distance to the lowest polymorph of the same formula is 0.000 eV/atom.

Lattice parameters (Å, degrees): 7.089 4.010 7.879 90.00 106.61 90.00
Space group P2/m (No. 10)
One atom of each set of equivalent atoms:
Ce: 0.000 0.000 0.000 x1
Pr: 0.500 0.500 0.000 x1
Br: 0.249 0.000 0.749 x2
Br: 0.249 0.500 0.251 x2

---

# 3
Compound: La3Ga2Ag
Source: the Alexandria database
Functional: PBE
Structure: relaxed

## Properties
For the formation energy, the calculation gives -271.7 kJ/mol of formula units. The value obtained for the distance to the lowest polymorph of the same formula is 0.000 eV/atom.

Lattice parameters (Å, degrees): 3.753 3.753 11.575 90.00 90.00 90.00
Space group P4/mmm (No. 123)
One atom of each set of equivalent atoms:
La: 0.000 0.000 0.000 x1
La: 0.000 0.000 0.324 x2
Ga: 0.500 0.500 0.166 x2
Ag: 0.500 0.500 0.500 x1

---

# 4
Compound: Ca3PaN4
Source: the Alexandria database
Functional: PBE
Structure: relaxed

## Properties
The formation energy (no corrections) comes out at -1202 meV/atom.

Lattice parameters (Å, degrees): 6.159 6.981 6.167 90.00 111.13 90.00
Space group P2/c (No. 13)
One atom of each set of equivalent atoms:
Ca: 0.000 0.121 0.250 x2
Ca: 0.000 0.374 0.750 x2
Ca: 0.500 0.125 0.750 x2
Pa: 0.500 0.370 0.250 x2
N: 0.261 0.147 0.029 x4
N: 0.287 0.397 0.503 x4

---

# 5
Compound: Gd2PuCo
Source: the Alexandria database
Functional: PBE
Structure: relaxed

## Properties
For the formation energy, the calculation gives 44.3 kJ/mol of formula units. The value obtained for the distance to the lowest polymorph of the same formula is 0.078 eV/atom.

Lattice parameters (Å, degrees): 3.7005 3.7005 27.5423 90.00 90.00 120.00
Space group R-3m (No. 166, hexagonal axes)
One atom of each set of equivalent atoms:
Gd: 0.0000 0.0000 0.2247 x6
Pu: 0.0000 0.0000 0.0000 x3
Co: 0.0000 0.0000 0.5000 x3

---

# 6
Compound: KYSi2Ir
Source: the Alexandria database
Functional: PBE
Structure: relaxed

## Properties
The formation energy (no corrections) comes out at 1676 meV/atom.

Lattice parameters (Å, degrees): 5.030 5.030 4.848 90.00 90.00 90.00
Space group P4/mmm (No. 123)
One atom of each set of equivalent atoms:
K: 0.000 0.000 0.000 x1
Y: 0.500 0.500 0.500 x1
Si: 0.000 0.500 0.000 x2
Ir: 0.000 0.000 0.500 x1

---

# 7
Compound: LaRe2Ir2
Source: the Alexandria database
Functional: PBE
Structure: relaxed

## Properties
For the formation energy, the calculation gives -27.4 kJ/mol of formula units. The value obtained for the distance to the lowest polymorph of the same formula is 0.000 eV/atom.

Lattice parameters (Å, degrees): 7.898 7.898 2.804 90.00 90.00 90.00
Space group P4/mbm (No. 127)
One atom of each set of equivalent atoms:
La: 0.000 0.000 0.000 x2
Re: 0.119 0.381 0.000 x4
Ir: 0.172 0.672 0.500 x4

---

# 8
Compound: Dy4SiRh4
Source: the Alexandria database
Functional: PBE
Structure: relaxed

## Properties
The formation energy (no corrections) comes out at -799 meV/atom.

Lattice parameters (Å, degrees): 8.360 8.360 5.525 90.00 90.00 90.00
Space group P4_2/n (No. 86, origin choice 2)
One atom of each set of equivalent atoms:
Dy: 0.040 0.687 0.113 x8
Si: 0.250 0.250 0.250 x2
Rh: 0.016 0.356 0.389 x8

---

# 9
Compound: Ce2Al4SiPd3
Source: the Alexandria database
Functional: PBE
Structure: relaxed

## Properties
The formation energy (no corrections) comes out at -726 meV/atom.

Lattice parameters (Å, degrees): 4.279 4.279 10.397 90.00 90.00 90.00
Space group P-4m2 (No. 115)
One atom of each set of equivalent atoms:
Ce: 0.000 0.500 0.247 x2
Al: 0.000 0.000 0.500 x1
Al: 0.000 0.500 0.866 x2
Al: 0.500 0.500 0.500 x1
Si: 0.500 0.500 0.000 x1
Pd: 0.000 0.000 0.000 x1
Pd: 0.000 0.500 0.631 x2

---

# 10
Compound: MnV4Re2
Source: the Alexandria database
Functional: PBE
Structure: relaxed

## Properties
For the formation energy, the calculation gives 587.7 kJ/mol of formula units. The value obtained for the distance to the lowest polymorph of the same formula is 0.802 eV/atom.

Lattice parameters (Å, degrees): 4.226 4.226 12.374 90.00 90.00 90.00
Space group I4/mmm (No. 139)
One atom of each set of equivalent atoms:
Mn: 0.000 0.000 0.000 x2
V: 0.000 0.000 0.187 x4
V: 0.000 0.500 0.000 x4
Re: 0.000 0.000 0.376 x4

---

# 11
Compound: Na3CePr2Se6
Source: the Alexandria database
Functional: PBE
Structure: relaxed

## Properties
The formation energy (no corrections) comes out at -1658 meV/atom.

Lattice parameters (Å, degrees): 7.469 12.936 7.422 90.00 109.60 90.00
Space group C2/m (No. 12)
One atom of each set of equivalent atoms:
Na: 0.000 0.000 0.000 x2
Na: 0.000 0.333 0.000 x4
Ce: 0.000 0.500 0.500 x2
Pr: 0.000 0.167 0.500 x4
Se: 0.245 0.334 0.737 x8
Se: 0.248 0.000 0.737 x4

---

# 12
Compound: Ho8OsAu2
Source: the Alexandria database
Functional: PBE
Structure: relaxed

## Properties
For the formation energy, the calculation gives -330.0 kJ/mol of formula units. The value obtained for the distance to the lowest polymorph of the same formula is 0.105 eV/atom.

Lattice parameters (Å, degrees): 7.669 15.535 6.105 90.00 124.77 90.00
Space group Cm (No. 8)
One atom of each set of equivalent atoms:
Ho: 0.000 0.000 0.000 x2
Ho: 0.020 0.122 0.548 x4
Ho: 0.223 0.310 0.894 x4
Ho: 0.444 0.000 0.653 x2
Ho: 0.486 0.115 0.211 x4
Os: 0.251 0.500 0.169 x2
Au: 0.243 0.214 0.362 x4